! BiB3Se (PBE, relaxed); values from VASP
! D(E_F) ... 0.42 states/eV per atom
! Energy above the most stable polymorph in this dataset ... 0.000 eV per atom
&SYSTEM
  ibrav = 0, nat = 5, ntyp = 3
/
ATOMIC_SPECIES
B 10.81 B.upf
Bi 208.98 Bi.upf
Se 78.96 Se.upf
ATOMIC_POSITIONS crystal
B 0.0000 0.5000 0.0000
B 0.0000 0.0000 0.5000
B 0.5000 0.0000 0.0000
Bi 0.5000 0.5000 0.5000
Se 0.0000 0.0000 0.0000
CELL_PARAMETERS angstrom
4.2532 0.0000 0.0000
0.0000 4.2532 0.0000
0.0000 0.0000 4.2532